{
  "formula": "HoSc2Fe",
  "functional": "PBE",
  "state": "optimized geometry",
  "e_form_ev_per_atom": -0.056,
  "e_above_lowest_polymorph_ev_per_fu": 0.02,
  "spacegroup": "Cmcm",
  "lattice_angstrom": [[-2.0048, 0.7796, -2.8712], [0.2883, -5.9790, 0.4163], [-6.9707, 0.0029, 4.8680]],
  "species": ["Ho", "Fe", "Fe", "Sc", "Sc", "Sc", "Sc", "Ho"],
  "frac_coords": [[0.0733, 0.1463, 0.7500], [0.2520, 0.5046, 0.2500], [0.7480, 0.4954, 0.7500], [0.3516, 0.7032, 0.9315], [0.6484, 0.2968, 0.4315], [0.3516, 0.7032, 0.5685], [0.6484, 0.2968, 0.0685], [0.9267, 0.8537, 0.2500]]
}